Tb2YPd2 (PBE-GGA, relaxed); size of the total moment = 0.000 μB per atom; energy of formation from the pure elements = -722 meV per atom; mass density = 8471 kg/m³
1.0
-2.416 1.448 2.748
-1.944 -7.306 2.141
5.889 -0.043 5.201
Y Tb Pd
2 4 4
Cartesian
0.000 0.000 0.000
1.973 -3.674 3.671
2.390 -0.514 5.190
2.412 -4.174 7.138
-0.860 -5.386 4.899
-0.883 -1.726 2.951
2.027 -6.376 5.142
-0.455 -4.615 2.032
4.401 -2.733 5.310
1.919 -0.973 2.200